Li2DyCr2N4: optimized geometry, PBE.

The calculated density is 4.97 g/cm3. The magnetic moment comes out at 0.0 μB per formula unit. The energy is -67.55 eV per formula unit.

It has space group C2/m (No. 12), with a = 10.3220 Å, b = 3.2479 Å, c = 8.0195 Å, α = 90.00°, β = 123.35° and γ = 90.00°. The asymmetric unit holds Li at (0.1375, 0.0000, 0.2425), Dy at (0.0000, 0.0000, 0.5000), Cr at (0.1576, 0.5000, 0.8762), N at (0.0402, 0.5000, 0.3176) and N at (0.2347, 0.0000, 0.8356).